Record 1
MoPIr | PBE-GGA | relaxed

Cell lengths 4.1577, 4.1577, 2.8517 Å; angles 90.00, 90.00, 120.00 degrees
Closest atoms and distances in Å follow each position.
Fractional positions:
Mo  0.0000  0.0000  0.0000  3 P 2.53, 6 Ir 2.76-2.82
P  0.3333  0.6667  0.2762  3 Ir 2.47, 3 Mo 2.53
Ir  0.6667  0.3333  0.4792  3 P 2.47, 3 Mo 2.76

For the formation energy, the calculation gives -0.1940 eV per atom. The value obtained for the density of states at the Fermi level is 0.26 states/eV per atom. Its space group is P3m1, No. 156.

Record 2
Mo2PIr | PBE-GGA | relaxed

Cell lengths 5.2245, 5.2245, 5.2245 Å; angles 147.83, 129.96, 60.75 degrees
Closest atoms and distances in Å follow each position.
Fractional positions:
Mo  0.0000  0.0000  0.0000  4 P 2.64, 2 Ir 2.88, 4 Mo 2.89-2.90
Mo  0.7060  0.2060  0.5000  2 P 2.43, 4 Ir 2.72
P  0.4897  0.4897  0.0000  2 Ir 2.41, 6 Mo 2.43-2.64
Ir  0.2763  0.7763  0.5000  2 P 2.41

For the formation energy, the calculation gives -0.2847 eV per atom. The value obtained for the density of states at the Fermi level is 0.73 states/eV per atom. Its space group is Imm2, No. 44.

Record 3
MoPIrS2 | PBE-GGA | relaxed

Cell lengths 4.8185, 4.8185, 4.3625 Å; angles 90.00, 90.00, 90.00 degrees
Closest atoms and distances in Å follow each position.
Fractional positions:
Mo  0.0000  0.0000  0.0000  8 S 3.25, 4 P 3.41
P  0.5000  0.5000  0.0000  2 Ir 2.18
Ir  0.5000  0.5000  0.5000  2 P 2.18, 4 S 2.41
S  0.0000  0.5000  0.5000  2 Ir 2.41
S  0.5000  0.0000  0.5000  2 Ir 2.41

As for the distance to the lowest polymorph of the same formula: 0 meV per atom. Its uncorrected formation energy is 981 meV/atom. The value obtained for the density of states at the Fermi level is 0.64 states/eV per atom. Its space group is P4/mmm, No. 123.

Record 4
MoPIrS2 | PBE-GGA | relaxed

Cell lengths 4.5409, 4.5409, 4.7317 Å; angles 90.00, 90.00, 90.00 degrees
Closest atoms and distances in Å follow each position.
Fractional positions:
Mo  0.0000  0.0000  0.0000  4 S 2.27, 2 P 2.37
P  0.0000  0.0000  0.5000  2 Mo 2.37
Ir  0.5000  0.5000  0.5000  4 P 3.21, 8 S 3.28
S  0.0000  0.5000  0.0000  2 Mo 2.27
S  0.5000  0.0000  0.0000  2 Mo 2.27

As for the distance to the lowest polymorph of the same formula: 49 meV per atom. Its uncorrected formation energy is 1030 meV/atom. The value obtained for the density of states at the Fermi level is 1.24 states/eV per atom. Its space group is P4/mmm, No. 123.

Record 5
SbMoPIr2 | PBE-GGA | relaxed

Cell lengths 4.8432, 4.8432, 4.9094 Å; angles 90.00, 90.00, 90.00 degrees
Closest atoms and distances in Å follow each position.
Fractional positions:
Sb  0.0000  0.0000  0.0000  4 Ir 2.42, 2 P 2.45
Mo  0.5000  0.5000  0.5000  4 P 3.42, 8 Ir 3.45
P  0.0000  0.0000  0.5000  2 Sb 2.45
Ir  0.0000  0.5000  0.0000  2 Sb 2.42
Ir  0.5000  0.0000  0.0000  2 Sb 2.42

Its uncorrected formation energy is 1923 meV/atom. The value obtained for the density of states at the Fermi level is 1.17 states/eV per atom. Its space group is P4/mmm, No. 123.

Record 6
ThMoP2Ir2 | PBE-GGA | relaxed

Cell lengths 4.1896, 4.1896, 6.7522 Å; angles 90.00, 90.00, 120.00 degrees
Closest atoms and distances in Å follow each position.
Fractional positions:
Th  0.0000  0.0000  0.0000  6 Ir 3.13, 6 P 3.25, 2 Mo 3.38
Mo  0.0000  0.0000  0.5000  6 P 2.70, 6 Ir 2.79
P  0.3333  0.6667  0.3211  4 Ir 2.43-2.61, 3 Mo 2.70
P  0.6667  0.3333  0.6789  4 Ir 2.43-2.61, 3 Mo 2.70
Ir  0.3333  0.6667  0.7069  4 P 2.43-2.61
Ir  0.6667  0.3333  0.2931  4 P 2.43-2.61

For the formation energy, the calculation gives -0.6697 eV per atom. The value obtained for the density of states at the Fermi level is 0.86 states/eV per atom. Its space group is P-3m1, No. 164.

Record 7
ZrMoPIr2 | PBE-GGA | relaxed

Cell lengths 4.7586, 4.7586, 4.4987 Å; angles 90.00, 90.00, 90.00 degrees
Closest atoms and distances in Å follow each position.
Fractional positions:
Zr  0.0000  0.0000  0.0000  8 Ir 3.27, 4 P 3.36
Mo  0.5000  0.5000  0.5000  2 P 2.25, 4 Ir 2.38
P  0.5000  0.5000  0.0000  2 Mo 2.25
Ir  0.0000  0.5000  0.5000  2 Mo 2.38
Ir  0.5000  0.0000  0.5000  2 Mo 2.38

For the formation energy, the calculation gives 0.6916 eV per atom. The value obtained for the density of states at the Fermi level is 0.63 states/eV per atom. Its space group is P4/mmm, No. 123.

Record 8
PaMoIr2 | PBE-GGA | relaxed

Cell lengths 5.5068, 5.5068, 5.5068 Å; angles 45.74, 45.74, 45.74 degrees
Closest atoms and distances in Å follow each position.
Fractional positions:
Pa  0.0000  0.0000  0.0000  8 Ir 2.99-3.24
Mo  0.5000  0.5000  0.5000  6 Ir 2.59
Ir  0.2195  0.2195  0.2195  3 Mo 2.59
Ir  0.7805  0.7805  0.7805  3 Mo 2.59

As for the distance to the lowest polymorph of the same formula: 231 meV per atom. For the formation energy, the calculation gives -0.2580 eV per atom. The value obtained for the density of states at the Fermi level is 1.32 states/eV per atom. Its space group is R-3m, No. 166.

Record 9
PaMoIr2 | PBE-GGA | relaxed

Cell lengths 4.1416, 4.1416, 4.0607 Å; angles 90.00, 90.00, 90.00 degrees
Closest atoms and distances in Å follow each position.
Fractional positions:
Pa  0.0000  0.0000  0.0000  8 Ir 2.90, 4 Mo 2.93
Mo  0.5000  0.5000  0.0000  8 Ir 2.90, 4 Pa 2.93
Ir  0.0000  0.5000  0.5000  4 Mo 2.90, 4 Pa 2.90, 4 Ir 2.93
Ir  0.5000  0.0000  0.5000  4 Mo 2.90, 4 Pa 2.90, 4 Ir 2.93

As for the distance to the lowest polymorph of the same formula: 0 meV per atom. For the formation energy, the calculation gives -0.4889 eV per atom. The value obtained for the density of states at the Fermi level is 1.05 states/eV per atom. Its space group is P4/mmm, No. 123.

Record 10
Pa2MoIr | PBE-GGA | relaxed

Cell lengths 3.5555, 3.5555, 6.5850 Å; angles 90.00, 90.00, 90.00 degrees
Closest atoms and distances in Å follow each position.
Fractional positions:
Pa  0.0000  0.0000  0.2412  4 Ir 2.97, 4 Mo 3.04, 1 Pa 3.18
Pa  0.0000  0.0000  0.7588  4 Ir 2.97, 4 Mo 3.04, 1 Pa 3.18
Mo  0.5000  0.5000  0.5000  8 Pa 3.04, 2 Ir 3.29
Ir  0.5000  0.5000  0.0000  8 Pa 2.97, 2 Mo 3.29

As for the distance to the lowest polymorph of the same formula: 0 meV per atom. For the formation energy, the calculation gives -0.2617 eV per atom. The value obtained for the density of states at the Fermi level is 1.29 states/eV per atom. Its space group is P4/mmm, No. 123.

Record 11
Pa2MoIr | PBE-GGA | relaxed

Cell lengths 9.0573, 9.0573, 9.0573 Å; angles 22.54, 22.54, 22.54 degrees
Closest atoms and distances in Å follow each position.
Fractional positions:
Pa  0.0943  0.0943  0.0943  1 Mo 2.50
Pa  0.9057  0.9057  0.9057  1 Mo 2.50
Mo  0.0000  0.0000  0.0000  2 Pa 2.50
Ir  0.5000  0.5000  0.5000  6 Pa 2.80

As for the distance to the lowest polymorph of the same formula: 553 meV per atom. For the formation energy, the calculation gives 0.2910 eV per atom. The value obtained for the density of states at the Fermi level is 1.08 states/eV per atom. Its space group is R-3m, No. 166.

Record 12
PuPaMoIr | PBE-GGA | relaxed

Cell lengths 4.8640, 4.8640, 4.8640 Å; angles 60.00, 60.00, 60.00 degrees
Closest atoms and distances in Å follow each position.
Fractional positions:
Pu  0.0000  0.0000  0.0000  4 Ir 2.98, 4 Mo 2.98
Pa  0.5000  0.5000  0.5000  4 Ir 2.98, 4 Mo 2.98
Mo  0.2500  0.2500  0.2500  4 Pa 2.98, 4 Pu 2.98
Ir  0.7500  0.7500  0.7500  4 Pu 2.98, 4 Pa 2.98

For the formation energy, the calculation gives -0.1467 eV per atom. The value obtained for the density of states at the Fermi level is 1.72 states/eV per atom. Its space group is F-43m, No. 216.

Record 13
ScPaMoIr | PBE-GGA | relaxed

Cell lengths 4.7700, 4.7700, 4.7700 Å; angles 60.00, 60.00, 60.00 degrees
Closest atoms and distances in Å follow each position.
Fractional positions:
Sc  0.0000  0.0000  0.0000  4 Mo 2.92, 4 Ir 2.92
Pa  0.5000  0.5000  0.5000  4 Mo 2.92, 4 Ir 2.92
Mo  0.7500  0.7500  0.7500  4 Pa 2.92, 4 Sc 2.92
Ir  0.2500  0.2500  0.2500  4 Pa 2.92, 4 Sc 2.92

For the formation energy, the calculation gives -0.4182 eV per atom. The value obtained for the density of states at the Fermi level is 0.81 states/eV per atom. Its space group is F-43m, No. 216.

Record 14
Pa2Si3MoIr4 | PBE-GGA | relaxed

Cell lengths 4.0842, 4.0842, 10.3631 Å; angles 90.00, 90.00, 90.00 degrees
Closest atoms and distances in Å follow each position.
Fractional positions:
Pa  0.0000  0.5000  0.2406  6 Si 3.11-3.38, 8 Ir 3.14-3.22, 2 Mo 3.38
Pa  0.5000  0.0000  0.7594  6 Si 3.11-3.38, 8 Ir 3.14-3.22, 2 Mo 3.38
Si  0.0000  0.5000  0.8699  5 Ir 2.39-2.45
Si  0.5000  0.0000  0.1301  5 Ir 2.39-2.45
Si  0.5000  0.5000  0.5000  4 Ir 2.50
Mo  0.0000  0.0000  0.5000  4 Ir 2.50
Ir  0.0000  0.0000  0.0000  4 Si 2.45
Ir  0.0000  0.5000  0.6396  3 Si 2.39-2.50, 2 Mo 2.50
Ir  0.5000  0.0000  0.3604  3 Si 2.39-2.50, 2 Mo 2.50
Ir  0.5000  0.5000  0.0000  4 Si 2.45

Its uncorrected formation energy is -861 meV/atom. The value obtained for the density of states at the Fermi level is 0.05 states/eV per atom. Its space group is P-4m2, No. 115.

Record 15
PaSi2MoIr | PBE-GGA | relaxed

Cell lengths 5.7152, 5.7152, 5.7152 Å; angles 136.81, 136.81, 62.73 degrees
Closest atoms and distances in Å follow each position.
Fractional positions:
Pa  0.0000  0.0000  0.0000  8 Si 3.21, 4 Mo 3.22, 4 Ir 3.22
Si  0.3778  0.3778  0.0000  1 Si 2.39, 2 Mo 2.45, 2 Ir 2.45
Si  0.6222  0.6222  0.0000  1 Si 2.39, 2 Mo 2.45, 2 Ir 2.45
Mo  0.7500  0.2500  0.5000  4 Si 2.45
Ir  0.2500  0.7500  0.5000  4 Si 2.45

Its uncorrected formation energy is -665 meV/atom. The value obtained for the density of states at the Fermi level is 1.08 states/eV per atom. Its space group is I-4m2, No. 119.